A:
Zn8Ag: optimized geometry, GGA-PBE.

Cell: 4.691 8.595 4.804 Å, 76.56 64.12 53.31°
Positions (direct):
Zn: 0.333 0.000 0.337
Ag: 0.000 0.000 0.000
Zn: 0.667 0.000 0.663
Zn: 0.684 0.664 0.988
Zn: 0.654 0.334 0.347
Zn: 0.991 0.332 0.677
Zn: 0.009 0.668 0.323
Zn: 0.346 0.666 0.653
Zn: 0.316 0.336 0.012

Results
* space-group type: No. 2
* DOS(E_F): 1.50 states/eV per cell
* volume: 15.51 A^3/atom

=====

B:
Zn8Ag: optimized geometry, GGA-PBE.

Cell: 6.314 6.314 8.508 Å, 47.64 47.64 84.72°
Positions (direct):
Zn: 0.000 0.000 0.664
Zn: 0.664 0.336 0.000
Zn: 0.670 0.330 0.670
Zn: 0.000 0.000 0.336
Zn: 0.670 0.330 0.330
Zn: 0.330 0.670 0.670
Zn: 0.336 0.664 0.000
Zn: 0.330 0.670 0.330
Ag: 0.000 0.000 0.000

Results
* space-group type: No. 139
* DOS(E_F): 2.20 states/eV per cell
* volume: 15.40 A^3/atom

=====

Need the numbers? Relative energies in eV/atom: A 0.000; B 0.006.

=====

A:
Zn7Ag3: optimized geometry, GGA-PBE.

Cell: 3.953 5.711 7.343 Å, 99.78 105.61 90.00°
Positions (direct):
Ag: 0.197 0.609 0.394
Ag: 0.000 0.000 0.000
Ag: 0.803 0.391 0.606
Zn: 0.599 0.303 0.198
Zn: 0.799 0.899 0.598
Zn: 0.401 0.697 0.802
Zn: 0.401 0.199 0.802
Zn: 0.000 0.500 0.000
Zn: 0.599 0.801 0.198
Zn: 0.201 0.101 0.402

Results
* space-group type: No. 12
* DOS(E_F): 2.06 states/eV per cell
* volume: 15.71 A^3/atom

=====

B:
Zn7Ag3: optimized geometry, GGA-PBE.

Cell: 4.681 6.304 6.807 Å, 90.00 90.00 111.80°
Positions (direct):
Zn: 0.891 0.781 0.209
Zn: 0.891 0.781 0.791
Zn: 0.500 0.500 0.000
Zn: 0.000 0.000 0.500
Zn: 0.000 0.500 0.000
Ag: 0.500 0.000 0.000
Ag: 0.675 0.349 0.500
Zn: 0.109 0.219 0.209
Zn: 0.109 0.219 0.791
Ag: 0.325 0.651 0.500

Results
* space-group type: No. 65
* DOS(E_F): 3.13 states/eV per cell
* volume: 18.65 A^3/atom

=====

Need the numbers? Relative energies in eV/atom: A 0.000; B 0.259.

=====

A:
Zn5Ag2: optimized geometry, GGA-PBE.

Cell: 3.950 4.857 6.292 Å, 97.52 90.00 113.99°
Positions (direct):
Zn: 0.216 0.432 0.645
Ag: 0.928 0.856 0.778
Zn: 0.355 0.710 0.074
Zn: 0.784 0.568 0.355
Zn: 0.500 0.000 0.500
Zn: 0.645 0.290 0.926
Ag: 0.072 0.144 0.222

Results
* space-group type: No. 12
* DOS(E_F): 1.40 states/eV per cell
* volume: 15.59 A^3/atom

=====

B:
Zn5Ag2: optimized geometry, GGA-PBE.

Cell: 4.527 4.527 6.796 Å, 70.55 70.55 60.00°
Positions (direct):
Zn: 0.073 0.073 0.780
Zn: 0.214 0.214 0.357
Zn: 0.786 0.786 0.643
Zn: 0.500 0.500 0.500
Ag: 0.639 0.639 0.083
Zn: 0.927 0.927 0.220
Ag: 0.361 0.361 0.917

Results
* space-group type: No. 166
* DOS(E_F): 2.79 states/eV per cell
* volume: 15.90 A^3/atom

=====

Need the numbers? Relative energies in eV/atom: A 0.000; B 0.054.

=====

A:
Zn3Ag8: optimized geometry, GGA-PBE.

Cell: 5.946 5.946 5.946 Å, 88.95 88.95 88.95°
Positions (direct):
Ag: 0.690 0.875 0.102
Ag: 0.102 0.690 0.875
Ag: 0.630 0.630 0.630
Ag: 0.370 0.370 0.370
Ag: 0.898 0.310 0.125
Zn: 0.000 0.500 0.500
Ag: 0.875 0.102 0.690
Zn: 0.500 0.500 0.000
Zn: 0.500 0.000 0.500
Ag: 0.125 0.898 0.310
Ag: 0.310 0.125 0.898

Results
* space-group type: No. 148
* DOS(E_F): 2.65 states/eV per cell
* volume: 19.10 A^3/atom

=====

B:
Zn3Ag8: optimized geometry, GGA-PBE.

Cell: 3.860 5.074 10.760 Å, 104.95 90.00 112.35°
Positions (direct):
Zn: 0.907 0.814 0.363
Ag: 0.811 0.622 0.724
Ag: 0.630 0.260 0.454
Ag: 0.280 0.561 0.912
Ag: 0.455 0.909 0.184
Ag: 0.545 0.091 0.816
Ag: 0.370 0.740 0.546
Ag: 0.720 0.439 0.088
Ag: 0.189 0.378 0.276
Zn: 0.093 0.186 0.637
Zn: 0.000 0.000 0.000

Results
* space-group type: No. 12
* DOS(E_F): 2.09 states/eV per cell
* volume: 17.02 A^3/atom

=====

Need the numbers? Relative energies in eV/atom: A 0.239; B 0.000.

=====

A:
Zn7Ag5: optimized geometry, GGA-PBE.

Cell: 2.876 6.580 14.701 Å, 131.50 90.00 102.62°
Positions (direct):
Ag: 0.661 0.322 0.750
Ag: 0.339 0.678 0.250
Zn: 0.281 0.561 0.678
Zn: 0.302 0.603 0.964
Ag: 0.000 0.000 0.000
Zn: 0.698 0.397 0.036
Zn: 0.975 0.951 0.176
Zn: 0.719 0.439 0.322
Zn: 0.025 0.049 0.824
Ag: 0.115 0.229 0.419
Zn: 0.500 0.000 0.500
Ag: 0.885 0.771 0.581

Results
* space-group type: No. 12
* DOS(E_F): 3.46 states/eV per cell
* volume: 16.61 A^3/atom

=====

B:
Zn7Ag5: optimized geometry, GGA-PBE.

Cell: 2.886 7.468 9.540 Å, 74.24 81.30 78.86°
Positions (direct):
Zn: 0.665 0.668 0.002
Ag: 0.000 0.000 0.000
Ag: 0.696 0.364 0.243
Ag: 0.840 0.829 0.491
Zn: 0.335 0.332 0.998
Zn: 0.359 0.030 0.252
Zn: 0.641 0.970 0.748
Zn: 0.030 0.693 0.248
Ag: 0.304 0.636 0.757
Zn: 0.970 0.307 0.752
Zn: 0.500 0.500 0.500
Ag: 0.160 0.171 0.509

Results
* space-group type: No. 12
* DOS(E_F): 3.68 states/eV per cell
* volume: 16.09 A^3/atom

=====

Need the numbers? Relative energies in eV/atom: A 0.041; B 0.000.

=====

A:
Zr2ZnAg2: optimized geometry, GGA-PBE.

Cell: 8.259 8.259 3.066 Å, 90.00 90.00 90.00°
Positions (direct):
Ag: 0.623 0.877 0.500
Zn: 0.000 0.000 0.000
Ag: 0.123 0.623 0.500
Zr: 0.827 0.673 0.000
Zr: 0.673 0.173 0.000
Zr: 0.173 0.327 0.000
Zn: 0.500 0.500 0.000
Zr: 0.327 0.827 0.000
Ag: 0.377 0.123 0.500
Ag: 0.877 0.377 0.500

Results
* space-group type: No. 127
* DOS(E_F): 7.91 states/eV per cell
* volume: 20.91 A^3/atom

=====

B:
Zr2ZnAg2: optimized geometry, GGA-PBE.

Cell: 6.908 6.908 4.208 Å, 90.00 90.00 90.00°
Positions (direct):
Ag: 0.139 0.361 0.000
Zr: 0.668 0.832 0.500
Ag: 0.361 0.861 0.000
Zr: 0.332 0.168 0.500
Zn: 0.500 0.500 0.000
Ag: 0.861 0.639 0.000
Zr: 0.832 0.332 0.500
Zr: 0.168 0.668 0.500
Zn: 0.000 0.000 0.000
Ag: 0.639 0.139 0.000

Results
* space-group type: No. 127
* DOS(E_F): 13.25 states/eV per cell
* volume: 20.08 A^3/atom

=====

Need the numbers? Relative energies in eV/atom: A 0.129; B 0.000.

=====

A:
ZrZn2Ag2: optimized geometry, GGA-PBE.

Cell: 3.803 3.803 6.950 Å, 74.12 74.12 90.00°
Positions (direct):
Zn: 0.750 0.250 0.500
Zn: 0.250 0.750 0.500
Ag: 0.395 0.395 0.210
Ag: 0.605 0.605 0.790
Zr: 0.000 0.000 0.000

Results
* space-group type: No. 139
* DOS(E_F): 4.00 states/eV per cell
* volume: 18.54 A^3/atom

=====

B:
ZrZn2Ag2: optimized geometry, GGA-PBE.

Cell: 7.838 7.838 2.853 Å, 90.00 90.00 90.00°
Positions (direct):
Ag: 0.872 0.628 0.000
Zn: 0.329 0.171 0.500
Zn: 0.171 0.671 0.500
Zn: 0.671 0.829 0.500
Ag: 0.628 0.128 0.000
Zr: 0.500 0.500 0.000
Zn: 0.829 0.329 0.500
Ag: 0.372 0.872 0.000
Ag: 0.128 0.372 0.000
Zr: 0.000 0.000 0.000

Results
* space-group type: No. 127
* DOS(E_F): 4.03 states/eV per cell
* volume: 17.53 A^3/atom

=====

C:
ZrZn2Ag2: optimized geometry, GGA-PBE.

Cell: 3.923 3.923 6.541 Å, 72.55 72.55 90.00°
Positions (direct):
Zn: 0.600 0.600 0.800
Ag: 0.750 0.250 0.500
Ag: 0.250 0.750 0.500
Zn: 0.400 0.400 0.200
Zr: 0.000 0.000 0.000

Results
* space-group type: No. 139
* DOS(E_F): 3.52 states/eV per cell
* volume: 18.24 A^3/atom

=====

D:
ZrZn2Ag2: optimized geometry, GGA-PBE.

Cell: 7.782 7.782 2.878 Å, 90.00 90.00 90.00°
Positions (direct):
Zn: 0.122 0.378 0.000
Zn: 0.622 0.122 0.000
Ag: 0.325 0.175 0.500
Zn: 0.878 0.622 0.000
Ag: 0.825 0.325 0.500
Zn: 0.378 0.878 0.000
Ag: 0.675 0.825 0.500
Zr: 0.000 0.000 0.000
Zr: 0.500 0.500 0.000
Ag: 0.175 0.675 0.500

Results
* space-group type: No. 127
* DOS(E_F): 3.87 states/eV per cell
* volume: 17.43 A^3/atom

=====

Need the numbers? Relative energies in eV/atom: A 0.104; B 0.007; C 0.032; D 0.000.

=====

A:
Zr2Zn6Ag: optimized geometry, GGA-PBE.

Cell: 5.723 5.539 5.539 Å, 60.01 90.02 90.02°
Positions (direct):
Zn: 0.333 0.359 0.821
Zn: 0.333 0.821 0.821
Zn: 0.667 0.179 0.179
Zn: 0.333 0.821 0.359
Zr: 0.130 0.333 0.333
Zr: 0.870 0.667 0.667
Zn: 0.667 0.179 0.641
Zn: 0.667 0.641 0.179
Ag: 0.000 0.000 0.000

Results
* space-group type: No. 164
* DOS(E_F): 6.51 states/eV per cell
* volume: 16.90 A^3/atom

=====

B:
Zr2Zn6Ag: optimized geometry, GGA-PBE.

Cell: 7.673 7.673 2.988 Å, 90.00 90.00 120.00°
Positions (direct):
Zr: 0.333 0.667 0.000
Zn: 0.000 0.330 0.500
Zr: 0.667 0.333 0.000
Zn: 0.000 0.670 0.500
Zn: 0.330 0.330 0.500
Zn: 0.330 0.000 0.500
Zn: 0.670 0.670 0.500
Ag: 0.000 0.000 0.000
Zn: 0.670 0.000 0.500

Results
* space-group type: No. 191
* DOS(E_F): 4.11 states/eV per cell
* volume: 16.93 A^3/atom

=====

Need the numbers? Relative energies in eV/atom: A 0.034; B 0.000.

=====

A:
Zr3ZnAg: optimized geometry, GGA-PBE.

Cell: 4.969 4.969 4.969 Å, 90.00 90.00 90.00°
Positions (direct):
Ag: 0.500 0.500 0.500
Zr: 0.000 0.500 0.000
Zr: 0.000 0.000 0.500
Zr: 0.500 0.000 0.000
Zn: 0.000 0.000 0.000

Results
* space-group type: No. 221
* DOS(E_F): 10.50 states/eV per cell
* volume: 24.54 A^3/atom

=====

B:
Zr3ZnAg: optimized geometry, GGA-PBE.

Cell: 5.132 5.132 5.132 Å, 90.00 90.00 90.00°
Positions (direct):
Zr: 0.000 0.500 0.000
Ag: 0.000 0.000 0.000
Zn: 0.500 0.500 0.500
Zr: 0.500 0.000 0.000
Zr: 0.000 0.000 0.500

Results
* space-group type: No. 221
* DOS(E_F): 9.59 states/eV per cell
* volume: 27.03 A^3/atom

=====

Need the numbers? Relative energies in eV/atom: A 0.000; B 0.313.

=====

A:
Zr4ZnAg: optimized geometry, GGA-PBE.

Cell: 3.284 3.284 11.704 Å, 90.00 90.00 90.00°
Positions (direct):
Zr: 0.500 0.500 0.151
Zr: 0.000 0.000 0.669
Zn: 0.000 0.000 0.000
Zr: 0.000 0.000 0.331
Zr: 0.500 0.500 0.849
Ag: 0.500 0.500 0.500

Results
* space-group type: No. 123
* DOS(E_F): 4.40 states/eV per cell
* volume: 21.04 A^3/atom

=====

B:
Zr4ZnAg: optimized geometry, GGA-PBE.

Cell: 5.707 5.707 5.707 Å, 60.00 60.00 60.00°
Positions (direct):
Zr: 0.876 0.375 0.375
Zr: 0.375 0.375 0.375
Zr: 0.375 0.876 0.375
Ag: 0.750 0.750 0.750
Zr: 0.375 0.375 0.876
Zn: 0.000 0.000 0.000

Results
* space-group type: No. 216
* DOS(E_F): 4.62 states/eV per cell
* volume: 21.91 A^3/atom

=====

Need the numbers? Relative energies in eV/atom: A 0.000; B 0.521.